Density functional theory data (PBE-GGA) for a geometry-optimized Tm2Mg6Zr structure.

Output
calculated density	4363	kg/m³
E_tot	-27.004	eV for the cell shown
space group	No. 191
M_tot	0.00	μB per formula unit

The structure in POSCAR format:
```
Tm2Mg6Zr
1.0
8.8752 0.0000 0.0000
-4.4376 7.6862 0.0000
0.0000 0.0000 3.2072
Tm Mg Zr
2 6 1
Direct
0.3333 0.6667 0.0000 Tm
0.6667 0.3333 0.0000 Tm
0.0000 0.3273 0.5000 Mg
0.0000 0.6727 0.5000 Mg
0.3273 0.0000 0.5000 Mg
0.3273 0.3273 0.5000 Mg
0.6727 0.0000 0.5000 Mg
0.6727 0.6727 0.5000 Mg
0.0000 0.0000 0.0000 Zr
```